A plane-wave DFT calculation with PBE was carried out for a relaxed Ag2AuBr crystal.

space group: Fm-3m
uncorrected formation energy: 0.174 eV per atom
calculated total energy: -2.489 eV per atom
magnetic moment: 0.0 μB/cell

a = 6.9072 Å, b = 6.9072 Å, c = 6.9072 Å
α = 90.00°, β = 90.00°, γ = 90.00°
Fractional coordinates of all 16 atoms:
Ag 0.2500 0.2500 0.2500
Ag 0.2500 0.2500 0.7500
Ag 0.2500 0.7500 0.2500
Ag 0.2500 0.7500 0.7500
Ag 0.7500 0.2500 0.2500
Ag 0.7500 0.2500 0.7500
Ag 0.7500 0.7500 0.2500
Ag 0.7500 0.7500 0.7500
Au 0.0000 0.0000 0.0000
Au 0.0000 0.5000 0.5000
Au 0.5000 0.0000 0.5000
Au 0.5000 0.5000 0.0000
Br 0.0000 0.0000 0.5000
Br 0.0000 0.5000 0.0000
Br 0.5000 0.0000 0.0000
Br 0.5000 0.5000 0.5000

---

A plane-wave DFT calculation with PBE was carried out for a relaxed CaSm2Dy crystal.

space group: R-3m
calculated total energy: -3.873 eV per atom
magnetic moment: 0.0 μB/cell

a = 3.5802 Å, b = 3.5802 Å, c = 38.2373 Å
α = 90.00°, β = 90.00°, γ = 120.00°
Fractional coordinates of all 12 atoms:
Ca 0.0000 0.0000 0.0000
Ca 0.3333 0.6667 0.6667
Ca 0.6667 0.3333 0.3333
Sm 0.0000 0.0000 0.0917
Sm 0.0000 0.0000 0.9083
Sm 0.3333 0.6667 0.5750
Sm 0.3333 0.6667 0.7583
Sm 0.6667 0.3333 0.2417
Sm 0.6667 0.3333 0.4250
Dy 0.0000 0.0000 0.5000
Dy 0.3333 0.6667 0.1667
Dy 0.6667 0.3333 0.8333

---

A plane-wave DFT calculation with PBE was carried out for a relaxed HgMo2 crystal.

space group: Cmcm
calculated total energy: -6.810 eV per atom
magnetic moment: 0.0 μB/cell

a = 2.7447 Å, b = 15.7111 Å, c = 4.7867 Å
α = 90.00°, β = 90.00°, γ = 90.00°
Fractional coordinates of all 12 atoms:
Hg 0.0000 0.1162 0.2500
Hg 0.0000 0.8838 0.7500
Hg 0.5000 0.3838 0.7500
Hg 0.5000 0.6162 0.2500
Mo 0.0000 0.2155 0.7500
Mo 0.0000 0.4506 0.2500
Mo 0.0000 0.5494 0.7500
Mo 0.0000 0.7845 0.2500
Mo 0.5000 0.0494 0.7500
Mo 0.5000 0.2845 0.2500
Mo 0.5000 0.7155 0.7500
Mo 0.5000 0.9506 0.2500

---

A plane-wave DFT calculation with PBE was carried out for a relaxed Nd2RhS crystal.

space group: R3m
uncorrected formation energy: -1.186 eV per atom
calculated total energy: -6.440 eV per atom
magnetic moment: 0.0 μB/cell

a = 3.9957 Å, b = 3.9957 Å, c = 21.9890 Å
α = 90.00°, β = 90.00°, γ = 120.00°
Fractional coordinates of all 12 atoms:
Nd 0.0000 0.0000 0.0000
Nd 0.0000 0.0000 0.1774
Nd 0.3333 0.6667 0.6667
Nd 0.3333 0.6667 0.8441
Nd 0.6667 0.3333 0.3333
Nd 0.6667 0.3333 0.5107
Rh 0.0000 0.0000 0.5889
Rh 0.3333 0.6667 0.2556
Rh 0.6667 0.3333 0.9222
S 0.0000 0.0000 0.7560
S 0.3333 0.6667 0.4226
S 0.6667 0.3333 0.0893

---

A plane-wave DFT calculation with PBE was carried out for a relaxed Sc4Te5H2 crystal.

space group: C2/m
calculated total energy: -5.357 eV per atom
magnetic moment: 0.0 μB/cell

a = 9.9970 Å, b = 9.9970 Å, c = 8.0443 Å
α = 103.22°, β = 103.22°, γ = 22.84°
Fractional coordinates of all 11 atoms:
Sc 0.0436 0.0436 0.2731
Sc 0.3311 0.3311 0.4860
Sc 0.6689 0.6689 0.5140
Sc 0.9564 0.9564 0.7269
Te 0.0967 0.0967 0.6625
Te 0.1921 0.1921 0.2630
Te 0.5000 0.5000 0.0000
Te 0.8079 0.8079 0.7370
Te 0.9033 0.9033 0.3375
H 0.4259 0.4259 0.6471
H 0.5741 0.5741 0.3529

---

A plane-wave DFT calculation with PBE was carried out for a relaxed NaLa2Tb3Te6 crystal.

space group: C2/m
uncorrected formation energy: -1.418 eV per atom
calculated total energy: -5.078 eV per atom
magnetic moment: 0.0 μB/cell

a = 10.0361 Å, b = 10.0361 Å, c = 9.0170 Å
α = 103.75°, β = 103.75°, γ = 25.54°
Fractional coordinates of all 12 atoms:
Na 0.0000 0.0000 0.0000
La 0.3315 0.3315 0.6629
La 0.6685 0.6685 0.3371
Tb 0.0000 0.0000 0.5000
Tb 0.3329 0.3329 0.1743
Tb 0.6671 0.6671 0.8257
Te 0.1621 0.1621 0.5892
Te 0.1676 0.1676 0.0709
Te 0.4971 0.4971 0.2534
Te 0.5029 0.5029 0.7466
Te 0.8324 0.8324 0.9291
Te 0.8379 0.8379 0.4108